No. 1
# GGA-PBE LaNb2Tc, relaxed
# Calculated formation energy = 300 meV/atom
data_LaNb2Tc
_space_group_name_H-M_alt 'F m -3 m'
_space_group_IT_number 225
_space_group_name_Hall '-F 4 2 3'
_cell_length_a 6.741
_cell_length_b 6.741
_cell_length_c 6.741
_cell_angle_alpha 90.00
_cell_angle_beta 90.00
_cell_angle_gamma 90.00
loop_
_atom_site_label
_atom_site_type_symbol
_atom_site_fract_x
_atom_site_fract_y
_atom_site_fract_z
_atom_site_occupancy
La1 La 0.000 0.000 0.000 1
Nb1 Nb 0.250 0.250 0.250 1
Tc1 Tc 0.000 0.000 0.500 1


No. 2
# GGA-PBE HgIrAu2, relaxed
# Calculated formation energy = 350 meV/atom
data_HgIrAu2
_space_group_name_H-M_alt 'I m m m'
_space_group_IT_number 71
_space_group_name_Hall '-I 2 2'
_cell_length_a 2.941
_cell_length_b 4.874
_cell_length_c 10.185
_cell_angle_alpha 90.00
_cell_angle_beta 90.00
_cell_angle_gamma 90.00
loop_
_atom_site_label
_atom_site_type_symbol
_atom_site_fract_x
_atom_site_fract_y
_atom_site_fract_z
_atom_site_occupancy
Hg1 Hg 0.000 0.000 0.000 1
Ir1 Ir 0.000 0.000 0.500 1
Au1 Au 0.000 0.500 0.233 1


No. 3
# GGA-PBE RbLi2DyCl6, relaxed
# ΔE_f (raw) = -2.055 eV/atom
data_RbLi2DyCl6
_space_group_name_H-M_alt 'R -3'
_space_group_IT_number 148
_space_group_name_Hall '-R 3'
_cell_length_a 6.6084
_cell_length_b 6.6084
_cell_length_c 23.8398
_cell_angle_alpha 90.00
_cell_angle_beta 90.00
_cell_angle_gamma 120.00
loop_
_atom_site_label
_atom_site_type_symbol
_atom_site_fract_x
_atom_site_fract_y
_atom_site_fract_z
_atom_site_occupancy
Rb1 Rb 0.0000 0.0000 0.0000 1
Li1 Li 0.0000 0.0000 0.1721 1
Dy1 Dy 0.0000 0.0000 0.5000 1
Cl1 Cl 0.9995 0.3357 0.4394 1


No. 4
# GGA-PBE Y6Ho2In, relaxed
# Calculated formation energy = -2 meV/atom
data_Y6Ho2In
_space_group_name_H-M_alt 'C 1 2/m 1'
_space_group_IT_number 12
_cell_length_a 16.678
_cell_length_b 9.633
_cell_length_c 3.411
_cell_angle_alpha 90.00
_cell_angle_beta 90.08
_cell_angle_gamma 90.00
loop_
_space_group_symop_operation_xyz
'x,y,z'
'-x,-y,-z'
'-x,y,-z'
'x,-y,z'
'x+1/2,y+1/2,z'
'-x+1/2,-y+1/2,-z'
'-x+1/2,y+1/2,-z'
'x+1/2,-y+1/2,z'
loop_
_atom_site_label
_atom_site_type_symbol
_atom_site_fract_x
_atom_site_fract_y
_atom_site_fract_z
_atom_site_occupancy
Y1 Y 0.000 0.173 0.000 1
Y2 Y 0.164 0.336 0.998 1
Ho1 Ho 0.167 0.000 0.500 1
In1 In 0.000 0.500 0.500 1


no.,electronic total energy (eV/atom)
1,-8.559
2,-3.580
3,-4.103
4,-5.633